[1]
The following is a DFT calculation (PBE) of a geometry-optimized EuTmO3 structure.

Geometry as extended XYZ:
```
5
Lattice="4.270 0.000 0.000 0.000 4.270 0.000 0.000 0.000 4.270" Properties=species:S:1:pos:R:3 pbc="T T T"
Eu 0.000 0.000 0.000
Tm 2.135 2.135 2.135
O 2.135 0.000 2.135
O 0.000 2.135 2.135
O 2.135 2.135 0.000
```

ΔE_f (raw): -2.7694 eV per atom
symmetry: No. 221
uncorrected energy: -43.5 eV for the cell shown

=====

[2]
The following is a DFT calculation (PBE) of a geometry-optimized Rb4Pr3ErS8 structure.

Geometry as extended XYZ:
```
16
Lattice="8.412 0.000 0.000 0.000 9.106 0.480 -4.206 -4.200 5.952" Properties=species:S:1:pos:R:3 pbc="T T T"
S -2.172 2.260 6.101
S 4.206 4.415 3.114
S 2.034 2.645 0.331
S 0.000 4.429 3.028
S 4.206 0.476 3.404
S 2.172 2.260 6.101
S 6.378 2.645 0.331
S 0.000 0.491 3.317
Rb -2.103 -2.100 2.976
Rb 4.206 0.000 0.000
Rb 2.103 -2.100 2.976
Rb 0.000 0.000 0.000
Pr -2.103 2.453 3.216
Pr 2.103 2.453 3.216
Pr 4.206 4.553 0.240
Er 0.000 4.553 0.240
```

ΔE_f (raw): -1.8192 eV per atom
symmetry: No. 166
uncorrected energy: -84.9 eV for the cell shown

=====

[3]
The following is a DFT calculation (PBE) of a geometry-optimized PuH3Pd2 structure.

Geometry as extended XYZ:
```
12
Lattice="5.410 0.000 0.000 0.000 5.350 0.534 0.000 -0.841 5.311" Properties=species:S:1:pos:R:3 pbc="T T T"
Pd 2.705 0.868 1.125
Pd 0.000 0.868 1.125
Pd 2.705 3.641 4.719
Pd 0.000 3.641 4.719
H 4.057 0.997 2.357
H 4.057 2.483 4.283
H 1.352 2.027 1.562
H 1.352 3.513 3.488
H 1.352 5.225 0.630
H 4.057 -0.716 5.214
Pu 4.057 3.446 2.003
Pu 1.352 1.063 3.842
```

symmetry: No. 63
uncorrected energy: -72.3 eV for the cell shown

=====

[4]
The following is a DFT calculation (PBE) of a geometry-optimized Y2TmCd5 structure.

Geometry as extended XYZ:
```
8
Lattice="-1.480 -2.012 -4.465 4.645 0.901 -1.945 0.687 -6.197 5.497" Properties=species:S:1:pos:R:3 pbc="T T T"
Tm 0.000 0.000 0.000
Y 1.179 -3.508 1.191
Y 2.673 -3.800 -2.104
Cd -0.205 -2.597 -1.692
Cd 0.995 -6.168 -0.481
Cd 2.857 -1.140 -0.433
Cd 1.583 -0.556 -3.205
Cd 4.058 -4.712 0.779
```

symmetry: No. 139
uncorrected energy: -24.4 eV for the cell shown
formation energy: -0.30 eV per atom

=====

[5]
The following is a DFT calculation (PBE) of a geometry-optimized CoPS2N structure.

Geometry as extended XYZ:
```
10
Lattice="6.814 0.000 0.087 0.000 2.707 0.000 -2.796 0.000 9.655" Properties=species:S:1:pos:R:3 pbc="T T T"
P 5.175 1.354 3.246
P 3.777 0.000 8.074
S -1.052 0.000 7.213
S 0.346 1.354 2.386
S 2.255 1.354 5.549
S 3.653 0.000 0.721
Co 3.844 0.000 5.964
Co 5.241 1.354 1.137
N 4.820 0.000 4.122
N 3.422 1.354 8.949
```

ΔE_f (raw): -0.0518 eV per atom
symmetry: No. 8
offset from the most stable computed form: 0.00 eV/f.u.
uncorrected energy: -58.7 eV for the cell shown

=====

[6]
The following is a DFT calculation (PBE) of a geometry-optimized Sr3Tm2PaP6 structure.

Geometry as extended XYZ:
```
12
Lattice="7.142 -0.003 0.000 -3.572 6.184 0.000 -1.191 -2.062 6.938" Properties=species:S:1:pos:R:3 pbc="T T T"
Pa 0.000 0.000 0.000
Sr 4.740 0.008 3.468
Sr 1.189 2.059 3.468
Sr -2.362 4.110 3.468
P -0.022 -0.039 5.437
P 2.338 -0.002 1.498
P -1.170 2.024 1.498
P 2.401 4.157 1.500
P 3.549 2.094 5.438
P 0.040 4.121 5.438
Tm 3.570 2.059 0.000
Tm 0.000 4.121 0.000
```

symmetry: No. 12
uncorrected energy: -71.1 eV for the cell shown
formation energy: -1.26 eV per atom

=====

[7]
The following is a DFT calculation (PBE) of a geometry-optimized Th2Si4PdPt3 structure.

Geometry as extended XYZ:
```
10
Lattice="-2.553 1.942 2.850 2.027 -2.023 3.195 6.393 7.442 0.656" Properties=species:S:1:pos:R:3 pbc="T T T"
Si -0.263 -0.040 3.023
Si 2.767 5.678 1.840
Si 0.000 0.000 0.000
Si 3.363 1.723 1.839
Th 0.319 2.828 1.588
Th 5.811 4.573 2.090
Pt 4.358 7.530 2.003
Pt 1.772 -0.128 1.676
Pt 3.196 3.721 0.328
Pd 2.934 3.681 3.350
```

ΔE_f (raw): -1.1061 eV per atom
symmetry: No. 115
uncorrected energy: -70.9 eV for the cell shown

=====

[8]
The following is a DFT calculation (PBE) of a geometry-optimized AlCd2GaNi structure.

Geometry as extended XYZ:
```
5
Lattice="-2.324 4.471 0.697 -3.160 -2.031 2.488 2.783 0.794 4.184" Properties=species:S:1:pos:R:3 pbc="T T T"
Ni -1.580 -1.015 1.244
Cd 1.391 0.397 2.092
Cd -1.162 2.235 0.348
Ga 0.000 0.000 0.000
Al -1.351 1.617 3.684
```

symmetry: No. 123
uncorrected energy: -11.6 eV for the cell shown
formation energy: 0.56 eV per atom

=====

[9]
The following is a DFT calculation (PBE) of a geometry-optimized Rb2NaPtBr6 structure.

Geometry as extended XYZ:
```
20
Lattice="-7.363 -0.015 1.643 -3.238 -6.234 2.752 -0.690 2.082 14.246" Properties=species:S:1:pos:R:3 pbc="T T T"
Br -4.214 -1.504 7.243
Br -3.464 -2.655 10.592
Br -7.077 -2.663 11.398
Br -2.708 0.619 13.552
Br -8.582 -4.786 5.089
Br -7.827 -1.512 8.049
Br -6.908 -1.563 3.666
Br -5.488 0.396 10.048
Br -5.802 -4.563 8.593
Br -4.382 -2.603 14.975
Br -6.515 0.611 14.402
Br -4.776 -4.778 4.239
Rb -1.786 0.476 9.319
Rb -9.504 -4.643 9.322
Rb -8.021 -2.471 15.988
Rb -3.269 -1.696 2.654
Pt 0.000 0.000 0.000
Pt -5.645 -2.083 9.321
Na -6.356 -3.125 6.125
Na -4.934 -1.042 12.516
```

ΔE_f (raw): -1.0726 eV per atom
symmetry: No. 166
offset from the most stable computed form: 0.00 eV/f.u.
uncorrected energy: -60.1 eV for the cell shown

=====

[10]
The following is a DFT calculation (PBE) of a geometry-optimized Rb9Hg3O2 structure.

Geometry as extended XYZ:
```
28
Lattice="-5.315 0.229 9.599 0.543 -10.718 2.293 8.772 0.298 6.587" Properties=species:S:1:pos:R:3 pbc="T T T"
Rb 1.090 -7.862 10.321
Rb -2.900 -9.522 9.609
Rb 4.651 -6.041 10.555
Rb -0.651 -4.150 7.924
Rb 6.900 -0.670 8.870
Rb 2.582 -5.855 6.284
Rb -4.017 -2.526 10.209
Rb 2.910 -2.330 8.157
Rb 3.036 -2.538 4.184
Rb 2.275 -9.948 4.754
Rb -0.189 -4.140 3.999
Rb 4.189 -6.051 14.480
Rb 0.964 -7.654 14.294
Rb 3.847 -9.226 12.803
Rb 8.016 -7.665 8.270
Rb 1.418 -4.336 12.195
Rb 0.153 -0.966 5.676
Rb 1.725 -0.244 13.725
Hg 4.318 -9.552 8.360
Hg 6.340 -4.181 6.724
Hg -1.023 -7.918 6.256
Hg -0.318 -0.640 10.118
Hg -2.340 -6.010 11.755
Hg 5.022 -2.273 12.222
O 1.355 -3.452 6.258
O 2.645 -6.740 12.220
O 3.355 -8.547 15.498
O 0.645 -1.644 2.981
```

ΔE_f (raw): -0.4885 eV per atom
symmetry: No. 167
uncorrected energy: -52.7 eV for the cell shown

=====

[11]
The following is a DFT calculation (PBE) of a geometry-optimized Li2Pa2Se7 structure.

Geometry as extended XYZ:
```
11
Lattice="-3.562 -6.130 4.267 6.590 -2.864 -1.303 -0.645 5.534 4.722" Properties=species:S:1:pos:R:3 pbc="T T T"
Se -2.207 -2.042 5.039
Se 0.632 -1.090 2.278
Se 0.446 -5.121 2.831
Se 0.000 0.000 0.000
Se 4.590 -1.418 2.647
Se 1.938 1.660 4.855
Se 1.752 -2.371 5.408
Pa 2.443 -3.182 2.801
Pa -0.059 -0.278 4.885
Li -1.870 -4.344 3.811
Li 4.253 0.884 3.875
```

ΔE_f (raw): -1.0939 eV per atom
symmetry: No. 12
uncorrected energy: -59.2 eV for the cell shown

=====

Please write out number 7 again, unchanged.
The following is a DFT calculation (PBE) of a geometry-optimized Th2Si4PdPt3 structure.

Geometry as extended XYZ:
```
10
Lattice="-2.553 1.942 2.850 2.027 -2.023 3.195 6.393 7.442 0.656" Properties=species:S:1:pos:R:3 pbc="T T T"
Si -0.263 -0.040 3.023
Si 2.767 5.678 1.840
Si 0.000 0.000 0.000
Si 3.363 1.723 1.839
Th 0.319 2.828 1.588
Th 5.811 4.573 2.090
Pt 4.358 7.530 2.003
Pt 1.772 -0.128 1.676
Pt 3.196 3.721 0.328
Pd 2.934 3.681 3.350
```

ΔE_f (raw): -1.1061 eV per atom
symmetry: No. 115
uncorrected energy: -70.9 eV for the cell shown